(1)
Material: DyPd2Pb
Method: DFT, PBE-GGA
State: relaxed

Values from the calculation:
Magnetic moment ... 0.0 μB/f.u.
VASP energy ... -0.3915 Ry per atom
SG ... No. 31

Cell: 4.4963 6.2021 6.0386 Å, 90.00 90.00 90.00°
Last column: nearest neighbours and their distance in Å.
Atoms (fractional coordinates):
Dy 0.5000 0.9176 0.3695  7 Pd 2.91-3.22
Dy 0.0000 0.0824 0.8695  7 Pd 2.91-3.22
Pb 0.5000 0.4044 0.1265  6 Pd 2.88-2.95
Pb 0.0000 0.5956 0.6265  6 Pd 2.88-2.95
Pd 0.0000 0.7019 0.1502  3 Dy 2.91-2.93, 4 Pb 2.91-3.23, 2 Pd 2.92
Pd 0.0000 0.2142 0.3537  3 Pb 2.88-2.89, 4 Dy 2.91-3.22, 2 Pd 2.92
Pd 0.5000 0.2981 0.6502  3 Dy 2.91-2.93, 4 Pb 2.91-3.23, 2 Pd 2.92
Pd 0.5000 0.7858 0.8537  3 Pb 2.88-2.89, 4 Dy 2.91-3.22, 2 Pd 2.92

***

(2)
Material: Cu7Ag
Method: DFT, PBE-GGA
State: relaxed

Values from the calculation:
SG ... No. 47
Polymorph energy (0 for the lowest one) ... 0.07 eV/f.u.

Cell: 2.6471 5.2717 7.2016 Å, 90.00 90.00 90.00°
Last column: nearest neighbours and their distance in Å.
Atoms (fractional coordinates):
Ag 0.5000 0.0000 0.0000  10 Cu 2.64-2.68, 2 Ag 2.65
Cu 0.5000 0.5000 0.0000  10 Cu 2.63-2.65, 2 Ag 2.64
Cu 0.0000 0.2585 0.2622  10 Cu 2.51-2.73, 2 Ag 2.68
Cu 0.0000 0.7415 0.2622  10 Cu 2.51-2.73, 2 Ag 2.68
Cu 0.5000 0.0000 0.5000  12 Cu 2.56-2.65
Cu 0.5000 0.5000 0.5000  12 Cu 2.51-2.65
Cu 0.0000 0.2585 0.7378  10 Cu 2.51-2.73, 2 Ag 2.68
Cu 0.0000 0.7415 0.7378  10 Cu 2.51-2.73, 2 Ag 2.68

***

(3)
Material: CuNiMoPb
Method: DFT, PBE-GGA
State: relaxed

Values from the calculation:
Magnetic moment ... 1.8 μB/f.u.
SG ... No. 216
Polymorph energy (0 for the lowest one) ... 0.22 eV/f.u.

Cell: 4.4967 4.4967 4.4967 Å, 60.00 60.00 60.00°
Last column: nearest neighbours and their distance in Å.
Atoms (fractional coordinates):
Cu 0.7500 0.7500 0.7500  4 Ni 2.75, 4 Pb 2.75
Mo 0.2500 0.2500 0.2500  4 Ni 2.75, 4 Pb 2.75
Ni 0.5000 0.5000 0.5000  4 Cu 2.75, 4 Mo 2.75
Pb 0.0000 0.0000 0.0000  4 Mo 2.75, 4 Cu 2.75

***

(4)
Material: DyBi2
Method: DFT, PBE-GGA
State: relaxed

Values from the calculation:
Magnetic moment ... 0.0 μB/f.u.
VASP energy ... -0.2604 Ry per atom
SG ... No. 227

Cell: 9.6595 9.6595 9.6595 Å, 60.00 60.00 60.00°
Last column: nearest neighbours and their distance in Å.
Atoms (fractional coordinates):
Bi 0.8750 0.3750 0.3750  2 Dy 2.96
Bi 0.3750 0.8750 0.3750  2 Dy 2.96
Bi 0.3750 0.3750 0.3750  2 Dy 2.96
Bi 0.3750 0.3750 0.8750  2 Dy 2.96
Dy 0.2500 0.2500 0.2500  4 Bi 2.96
Dy 0.5000 0.5000 0.5000  4 Bi 2.96

***

(5)
Material: BaSb2PtAu
Method: DFT, PBE-GGA
State: relaxed

Values from the calculation:
Magnetic moment ... 0.0 μB/f.u.
SG ... No. 11
Polymorph energy (0 for the lowest one) ... 0.00 eV/f.u.

Cell: 4.8863 4.8628 10.8849 Å, 90.00 90.66 90.00°
Last column: nearest neighbours and their distance in Å.
Atoms (fractional coordinates):
Au 0.7251 0.2500 0.0000  4 Sb 2.87
Au 0.2749 0.7500 0.0000  4 Sb 2.87
Ba 0.7438 0.7500 0.2483  4 Au 3.52-3.77, 8 Sb 3.61-3.69, 4 Pt 3.75-3.76
Ba 0.2562 0.2500 0.7517  4 Au 3.52-3.77, 8 Sb 3.61-3.69, 4 Pt 3.75-3.76
Pt 0.2477 0.2500 0.3853  5 Sb 2.68-2.74
Pt 0.7523 0.7500 0.6148  5 Sb 2.68-2.74
Sb 0.2288 0.2500 0.1387  1 Pt 2.68, 4 Au 2.87
Sb 0.7498 0.2500 0.4994  4 Pt 2.74
Sb 0.2502 0.7500 0.5006  4 Pt 2.74
Sb 0.7712 0.7500 0.8613  1 Pt 2.68, 4 Au 2.87

***

(6)
Material: TbErAl3Si2
Method: DFT, PBE-GGA
State: relaxed

Values from the calculation:
Magnetic moment ... 0.0 μB/f.u.
VASP energy ... -0.3684 Ry per atom
SG ... No. 8

Cell: 5.4666 5.4666 6.6072 Å, 100.22 100.22 43.41°
Last column: nearest neighbours and their distance in Å.
Atoms (fractional coordinates):
Al 0.6946 0.6946 0.3677  2 Si 2.62, 2 Al 2.77
Al 0.0008 0.0008 0.5010  2 Si 2.71-2.73, 2 Er 3.01, 2 Tb 3.03
Al 0.3049 0.3049 0.6342  2 Si 2.60, 2 Al 2.77
Er 0.6195 0.6195 0.8223  5 Si 2.88-3.00, 5 Al 3.01-3.20
Si 0.0930 0.0930 0.1390  1 Si 2.38, 2 Al 2.62
Si 0.9070 0.9070 0.8585  1 Si 2.38, 2 Al 2.60
Tb 0.3803 0.3803 0.1773  5 Si 2.88-3.00, 5 Al 3.03-3.20

***

(7)
Material: HoMgNO
Method: DFT, PBE-GGA
State: relaxed

Values from the calculation:
Magnetic moment ... 0.0 μB/f.u.
SG ... No. 123
Polymorph energy (0 for the lowest one) ... 0.11 eV/f.u.

Cell: 4.6977 4.6977 4.5057 Å, 90.00 90.00 90.00°
Last column: nearest neighbours and their distance in Å.
Atoms (fractional coordinates):
Ho 0.0000 0.0000 0.5000  2 O 2.25, 4 N 2.35
Ho 0.5000 0.5000 0.5000  2 O 2.25, 4 N 2.35
Mg 0.5000 0.0000 0.0002  2 N 2.25-2.26, 4 O 2.35
Mg 0.0000 0.5000 0.9998  2 N 2.25-2.26, 4 O 2.35
N 0.5000 0.0000 0.4991  2 Mg 2.25-2.26, 4 Ho 2.35
N 0.0000 0.5000 0.5009  2 Mg 2.25-2.26, 4 Ho 2.35
O 0.0000 0.0000 0.0000  2 Ho 2.25, 4 Mg 2.35
O 0.5000 0.5000 0.0000  2 Ho 2.25, 4 Mg 2.35

***

(8)
Material: TlPbW4C2
Method: DFT, PBE-GGA
State: relaxed

Values from the calculation:
Magnetic moment ... 0.0 μB/f.u.
VASP energy ... -0.6669 Ry per atom
SG ... No. 187

Cell: 3.2061 3.2061 13.9859 Å, 90.00 90.00 120.00°
Last column: nearest neighbours and their distance in Å.
Atoms (fractional coordinates):
C 0.3333 0.6667 0.2498  6 W 2.14-2.15
C 0.3333 0.6667 0.7502  6 W 2.14-2.15
Pb 0.0000 0.0000 0.0000  6 W 3.05, 6 Pb 3.21
Tl 0.6667 0.3333 0.5000  6 W 3.03, 6 Tl 3.21
W 0.6667 0.3333 0.1731  3 C 2.14
W 0.0000 0.0000 0.3282  3 C 2.15
W 0.0000 0.0000 0.6718  3 C 2.15
W 0.6667 0.3333 0.8269  3 C 2.14

***

(9)
Material: ScZn2Sb
Method: DFT, PBE-GGA
State: relaxed

Values from the calculation:
Magnetic moment ... 0.2 μB/f.u.
VASP energy ... -0.2442 Ry per atom
SG ... No. 216

Cell: 4.8709 4.8709 4.8709 Å, 60.00 60.00 60.00°
Last column: nearest neighbours and their distance in Å.
Atoms (fractional coordinates):
Sb 0.2500 0.2500 0.2500  4 Sc 2.98, 4 Zn 2.98
Sc 0.0000 0.0000 0.0000  4 Sb 2.98, 4 Zn 2.98
Zn 0.5000 0.5000 0.5000  4 Sb 2.98, 4 Zn 2.98
Zn 0.7500 0.7500 0.7500  4 Zn 2.98, 4 Sc 2.98

***

(10)
Material: PrDyAs2Pt2
Method: DFT, PBE-GGA
State: relaxed

Values from the calculation:
Magnetic moment ... 0.0 μB/f.u.
SG ... No. 194
Polymorph energy (0 for the lowest one) ... 0.00 eV/f.u.

Cell: 4.3304 4.3304 15.6490 Å, 90.00 90.00 120.00°
Last column: nearest neighbours and their distance in Å.
Atoms (fractional coordinates):
As 0.6667 0.3333 0.1204  3 Pt 2.52
As 0.6667 0.3333 0.3796  3 Pt 2.52
As 0.3333 0.6667 0.6204  3 Pt 2.52
As 0.3333 0.6667 0.8796  3 Pt 2.52
Dy 0.0000 0.0000 0.2500  6 Pt 3.02, 6 As 3.22
Dy 0.0000 0.0000 0.7500  6 Pt 3.02, 6 As 3.22
Pr 0.0000 0.0000 0.0000  6 As 3.13, 6 Pt 3.35
Pr 0.0000 0.0000 0.5000  6 As 3.13, 6 Pt 3.35
Pt 0.3333 0.6667 0.1423  3 As 2.52
Pt 0.3333 0.6667 0.3577  3 As 2.52
Pt 0.6667 0.3333 0.6423  3 As 2.52
Pt 0.6667 0.3333 0.8577  3 As 2.52

***

(11)
Material: BeHgOs2
Method: DFT, PBE-GGA
State: relaxed

Values from the calculation:
Magnetic moment ... 0.0 μB/f.u.
VASP energy ... -0.4274 Ry per atom
SG ... No. 216

Cell: 4.3774 4.3774 4.3774 Å, 60.00 60.00 60.00°
Last column: nearest neighbours and their distance in Å.
Atoms (fractional coordinates):
Be 0.5000 0.5000 0.5000  4 Hg 2.68, 4 Os 2.68
Hg 0.2500 0.2500 0.2500  4 Be 2.68, 4 Os 2.68
Os 0.0000 0.0000 0.0000  4 Hg 2.68, 4 Os 2.68
Os 0.7500 0.7500 0.7500  4 Be 2.68, 4 Os 2.68

***

(12)
Material: RbOs3N5
Method: DFT, PBE-GGA
State: relaxed

Values from the calculation:
Magnetic moment ... 1.8 μB/f.u.
VASP energy ... -0.5441 Ry per atom
SG ... No. 191

Cell: 5.2470 5.2470 6.1604 Å, 90.00 90.00 120.00°
Last column: nearest neighbours and their distance in Å.
Atoms (fractional coordinates):
N 0.6667 0.3333 0.2876  3 Os 2.00
N 0.3333 0.6667 0.2876  3 Os 2.00
N 0.0000 0.0000 0.5000  6 Os 2.62
N 0.6667 0.3333 0.7124  3 Os 2.00
N 0.3333 0.6667 0.7124  3 Os 2.00
Os 0.5000 0.0000 0.5000  4 N 2.00
Os 0.0000 0.5000 0.5000  4 N 2.00
Os 0.5000 0.5000 0.5000  4 N 2.00
Rb 0.0000 0.0000 0.0000  2 N 3.08